Below is a geometry-optimized VZnFe2C structure, with properties calculated at the PBE level.

```
data_VZnFe2C
_cell_length_a 3.7625
_cell_length_b 3.7625
_cell_length_c 3.9820
_cell_angle_alpha 90.00
_cell_angle_beta 90.00
_cell_angle_gamma 90.00
_space_group_name_H-M_alt 'P 4/m m m'
_space_group_IT_number 123
_space_group_name_Hall '-P 4 2'
loop_
_atom_site_label
_atom_site_fract_x
_atom_site_fract_y
_atom_site_fract_z
_atom_site_occupancy
V1 0.0000 0.0000 0.0000 1
Zn1 0.5000 0.5000 0.0000 1
Fe1 0.0000 0.5000 0.5000 1
C1 0.0000 0.0000 0.5000 1
```

Output
- Calculated total energy: -36.46 eV per formula unit
- Calculated formation energy: 0.37 kcal/mol of atoms
- N(E_F): 1.057 states/eV/atom
- Volume: 11.27 Å³/atom

---

Below is a geometry-optimized SrAc5Pb3 structure, with properties calculated at the PBE level.

```
data_SrAc5Pb3
_cell_length_a 10.3811
_cell_length_b 10.3811
_cell_length_c 7.3526
_cell_angle_alpha 90.00
_cell_angle_beta 90.00
_cell_angle_gamma 120.00
_space_group_name_H-M_alt 'P 63/m c m'
_space_group_IT_number 193
_space_group_name_Hall '-P 6c 2'
loop_
_atom_site_label
_atom_site_fract_x
_atom_site_fract_y
_atom_site_fract_z
_atom_site_occupancy
Sr1 0.0000 0.0000 0.0000 1
Ac1 0.0000 0.3355 0.2500 1
Ac2 0.3333 0.6667 0.0000 1
Pb1 0.0000 0.3316 0.7500 1
```

Output
- Calculated total energy: -36.64 eV per formula unit
- Calculated formation energy: -8.43 kcal/mol of atoms
- N(E_F): 1.084 states/eV/atom
- Volume: 38.12 Å³/atom

---

Below is a geometry-optimized SmPa2RhN5 structure, with properties calculated at the PBE level.

```
data_SmPa2RhN5
_cell_length_a 3.4166
_cell_length_b 13.8073
_cell_length_c 10.3020
_cell_angle_alpha 90.00
_cell_angle_beta 90.00
_cell_angle_gamma 90.00
_space_group_name_H-M_alt 'C m c 21'
_space_group_IT_number 36
loop_
_space_group_symop_operation_xyz
'x,y,z'
'-x,-y,z+1/2'
'-x,y,z'
'x,-y,z+1/2'
'x+1/2,y+1/2,z'
'-x+1/2,-y+1/2,z+1/2'
'-x+1/2,y+1/2,z'
'x+1/2,-y+1/2,z+1/2'
loop_
_atom_site_label
_atom_site_fract_x
_atom_site_fract_y
_atom_site_fract_z
_atom_site_occupancy
Sm1 0.0000 0.2002 0.0000 1
Pa1 0.0000 0.1030 0.6882 1
Pa2 0.0000 0.1343 0.2979 1
Rh1 0.0000 0.4785 0.4653 1
N1 0.0000 0.0472 0.0933 1
N2 0.0000 0.2818 0.6938 1
N3 0.0000 0.3436 0.3469 1
N4 0.0000 0.3715 0.0190 1
N5 0.0000 0.4771 0.7807 1
```

Output
- Calculated total energy: -81.99 eV per formula unit
- N(E_F): 0.321 states/eV/atom
- Volume: 13.50 Å³/atom
- Energy relative to the elements, uncorrected: -1.0333 eV/atom

---

Below is a geometry-optimized TcW structure, with properties calculated at the PBE level.

```
data_TcW
_cell_length_a 5.1650
_cell_length_b 5.1650
_cell_length_c 5.1650
_cell_angle_alpha 90.00
_cell_angle_beta 90.00
_cell_angle_gamma 90.00
_space_group_name_H-M_alt 'F m -3 m'
_space_group_IT_number 225
_space_group_name_Hall '-F 4 2 3'
loop_
_atom_site_label
_atom_site_fract_x
_atom_site_fract_y
_atom_site_fract_z
_atom_site_occupancy
Tc1 0.0000 0.0000 0.0000 1
W1 0.0000 0.0000 0.5000 1
```

Output
- Calculated total energy: -21.11 eV per formula unit
- Calculated formation energy: 25.48 kcal/mol of atoms
- N(E_F): 1.205 states/eV/atom
- Volume: 17.22 Å³/atom

---

Below is a geometry-optimized Hf7Tl2Fe2 structure, with properties calculated at the PBE level.

```
data_Hf7Tl2Fe2
_cell_length_a 7.6312
_cell_length_b 9.9867
_cell_length_c 6.4581
_cell_angle_alpha 90.00
_cell_angle_beta 90.00
_cell_angle_gamma 90.00
_space_group_name_H-M_alt 'C m m m'
_space_group_IT_number 65
_space_group_name_Hall '-C 2 2'
loop_
_atom_site_label
_atom_site_fract_x
_atom_site_fract_y
_atom_site_fract_z
_atom_site_occupancy
Hf1 0.0000 0.0000 0.0000 1
Hf2 0.0000 0.5000 0.2298 1
Hf3 0.2500 0.2500 0.2334 1
Tl1 0.1853 0.0000 0.5000 1
Fe1 0.0000 0.2848 0.0000 1
```

Output
- Calculated total energy: -89.65 eV per formula unit
- Calculated formation energy: 3.52 kcal/mol of atoms
- N(E_F): 0.752 states/eV/atom
- Volume: 22.37 Å³/atom

---

Below is a geometry-optimized YFeS2N structure, with properties calculated at the PBE level.

```
data_YFeS2N
_cell_length_a 5.2308
_cell_length_b 5.2308
_cell_length_c 4.2560
_cell_angle_alpha 90.00
_cell_angle_beta 90.00
_cell_angle_gamma 90.00
_space_group_name_H-M_alt 'P 4/m m m'
_space_group_IT_number 123
_space_group_name_Hall '-P 4 2'
loop_
_atom_site_label
_atom_site_fract_x
_atom_site_fract_y
_atom_site_fract_z
_atom_site_occupancy
Y1 0.0000 0.0000 0.0000 1
Fe1 0.5000 0.5000 0.5000 1
S1 0.0000 0.5000 0.0000 1
N1 0.0000 0.0000 0.5000 1
```

Output
- Calculated total energy: -28.33 eV per formula unit
- N(E_F): 1.756 states/eV/atom
- Volume: 23.29 Å³/atom
- Energy relative to the elements, uncorrected: 0.6349 eV/atom

---

Below is a geometry-optimized NdSm3C structure, with properties calculated at the PBE level.

```
data_NdSm3C
_cell_length_a 5.1884
_cell_length_b 5.1884
_cell_length_c 5.1884
_cell_angle_alpha 90.00
_cell_angle_beta 90.00
_cell_angle_gamma 90.00
_space_group_name_H-M_alt 'P m -3 m'
_space_group_IT_number 221
_space_group_name_Hall '-P 4 2 3'
loop_
_atom_site_label
_atom_site_fract_x
_atom_site_fract_y
_atom_site_fract_z
_atom_site_occupancy
Nd1 0.0000 0.0000 0.0000 1
Sm1 0.0000 0.5000 0.5000 1
C1 0.5000 0.5000 0.5000 1
```

Output
- Calculated total energy: -27.84 eV per formula unit
- Calculated formation energy: 1.45 kcal/mol of atoms
- N(E_F): 1.284 states/eV/atom
- Volume: 27.93 Å³/atom

---

Below is a geometry-optimized YV3Si structure, with properties calculated at the PBE level.

```
data_YV3Si
_cell_length_a 4.5917
_cell_length_b 4.5917
_cell_length_c 4.5917
_cell_angle_alpha 90.00
_cell_angle_beta 90.00
_cell_angle_gamma 90.00
_space_group_name_H-M_alt 'P m -3 m'
_space_group_IT_number 221
_space_group_name_Hall '-P 4 2 3'
loop_
_atom_site_label
_atom_site_fract_x
_atom_site_fract_y
_atom_site_fract_z
_atom_site_occupancy
Y1 0.0000 0.0000 0.0000 1
V1 0.0000 0.0000 0.5000 1
Si1 0.5000 0.5000 0.5000 1
```

Output
- Calculated total energy: -28.61 eV per formula unit
- N(E_F): 1.501 states/eV/atom
- Volume: 19.36 Å³/atom
- Energy relative to the elements, uncorrected: 2.1264 eV/atom

---

Below is a geometry-optimized AlCdPBr2 structure, with properties calculated at the PBE level.

```
data_AlCdPBr2
_cell_length_a 5.5062
_cell_length_b 5.5062
_cell_length_c 5.5879
_cell_angle_alpha 90.00
_cell_angle_beta 90.00
_cell_angle_gamma 90.00
_space_group_name_H-M_alt 'P 4/m m m'
_space_group_IT_number 123
_space_group_name_Hall '-P 4 2'
loop_
_atom_site_label
_atom_site_fract_x
_atom_site_fract_y
_atom_site_fract_z
_atom_site_occupancy
Al1 0.0000 0.0000 0.0000 1
Cd1 0.0000 0.0000 0.5000 1
P1 0.5000 0.5000 0.0000 1
Br1 0.0000 0.5000 0.5000 1
```

Output
- Calculated total energy: -10.31 eV per formula unit
- N(E_F): 0.563 states/eV/atom
- Volume: 33.88 Å³/atom
- Energy relative to the elements, uncorrected: 0.6201 eV/atom

---

Below is a geometry-optimized AgHOF structure, with properties calculated at the PBE level.

```
data_AgHOF
_cell_length_a 6.1962
_cell_length_b 3.5595
_cell_length_c 5.1001
_cell_angle_alpha 90.00
_cell_angle_beta 113.71
_cell_angle_gamma 90.00
_space_group_name_H-M_alt 'C 1 m 1'
_space_group_IT_number 8
loop_
_space_group_symop_operation_xyz
'x,y,z'
'x,-y,z'
'x+1/2,y+1/2,z'
'x+1/2,-y+1/2,z'
loop_
_atom_site_label
_atom_site_fract_x
_atom_site_fract_y
_atom_site_fract_z
_atom_site_occupancy
Ag1 0.0000 0.0000 0.0000 1
H1 0.0317 0.5000 0.5941 1
O1 0.1039 0.5000 0.8113 1
F1 0.4204 0.0000 0.2583 1
```

Output
- Calculated total energy: -16.31 eV per formula unit
- N(E_F): 0.403 states/eV/atom
- Volume: 12.87 Å³/atom

---

Below is a geometry-optimized ZrAg3 structure, with properties calculated at the PBE level.

```
data_ZrAg3
_cell_length_a 3.0230
_cell_length_b 3.0230
_cell_length_c 29.1538
_cell_angle_alpha 90.00
_cell_angle_beta 90.00
_cell_angle_gamma 120.00
_space_group_name_H-M_alt 'R -3 m'
_space_group_IT_number 166
_space_group_name_Hall '-R 3 2"'
loop_
_atom_site_label
_atom_site_fract_x
_atom_site_fract_y
_atom_site_fract_z
_atom_site_occupancy
Zr1 0.0000 0.0000 0.0000 1
Ag1 0.0000 0.0000 0.2474 1
Ag2 0.0000 0.0000 0.5000 1
```

Output
- Calculated total energy: -16.91 eV per formula unit
- Calculated formation energy: 1.11 kcal/mol of atoms
- N(E_F): 0.817 states/eV/atom
- Volume: 19.23 Å³/atom

---

Below is a geometry-optimized Cd2CuHg2 structure, with properties calculated at the PBE level.

```
data_Cd2CuHg2
_cell_length_a 7.0880
_cell_length_b 7.0880
_cell_length_c 4.5389
_cell_angle_alpha 90.00
_cell_angle_beta 90.00
_cell_angle_gamma 90.00
_space_group_name_H-M_alt 'P 4/m b m'
_space_group_IT_number 127
_space_group_name_Hall '-P 4 2ab'
loop_
_atom_site_label
_atom_site_fract_x
_atom_site_fract_y
_atom_site_fract_z
_atom_site_occupancy
Cd1 0.1555 0.3445 0.0000 1
Cu1 0.0000 0.0000 0.5000 1
Hg1 0.1580 0.6580 0.5000 1
```

Output
- Calculated total energy: -5.61 eV per formula unit
- Calculated formation energy: 4.25 kcal/mol of atoms
- N(E_F): 0.345 states/eV/atom
- Volume: 22.80 Å³/atom

---

Below is a geometry-optimized YHoAlTl structure, with properties calculated at the PBE level.

```
data_YHoAlTl
_cell_length_a 7.4095
_cell_length_b 7.4095
_cell_length_c 7.4095
_cell_angle_alpha 90.00
_cell_angle_beta 90.00
_cell_angle_gamma 90.00
_space_group_name_H-M_alt 'F -4 3 m'
_space_group_IT_number 216
_space_group_name_Hall 'F -4 2 3'
loop_
_atom_site_label
_atom_site_fract_x
_atom_site_fract_y
_atom_site_fract_z
_atom_site_occupancy
Y1 0.0000 0.0000 0.0000 1
Ho1 0.0000 0.0000 0.5000 1
Al1 0.2500 0.2500 0.2500 1
Tl1 0.2500 0.2500 0.7500 1
```

Output
- Calculated total energy: -18.53 eV per formula unit
- Calculated formation energy: -7.96 kcal/mol of atoms
- N(E_F): 0.358 states/eV/atom
- Volume: 25.42 Å³/atom

---

Below is a geometry-optimized Ca2MgNi3P4 structure, with properties calculated at the PBE level.

```
data_Ca2MgNi3P4
_cell_length_a 4.0299
_cell_length_b 4.0299
_cell_length_c 9.7198
_cell_angle_alpha 90.00
_cell_angle_beta 90.00
_cell_angle_gamma 90.00
_space_group_name_H-M_alt 'P -4 m 2'
_space_group_IT_number 115
loop_
_space_group_symop_operation_xyz
'x,y,z'
'y,-x,-z'
'-x,-y,z'
'-y,x,-z'
'-x,y,z'
'-y,-x,-z'
'x,-y,z'
'y,x,-z'
loop_
_atom_site_label
_atom_site_fract_x
_atom_site_fract_y
_atom_site_fract_z
_atom_site_occupancy
Ca1 0.0000 0.5000 0.2336 1
Mg1 0.0000 0.0000 0.5000 1
Ni1 0.0000 0.5000 0.8889 1
Ni2 0.5000 0.5000 0.5000 1
P1 0.0000 0.0000 0.0000 1
P2 0.0000 0.5000 0.6518 1
P3 0.5000 0.5000 0.0000 1
```

Output
- Calculated total energy: -52.37 eV per formula unit
- Calculated formation energy: -17.97 kcal/mol of atoms
- N(E_F): 0.361 states/eV/atom
- Volume: 15.78 Å³/atom

---

Below is a geometry-optimized YTaPb2 structure, with properties calculated at the PBE level.

```
data_YTaPb2
_cell_length_a 3.3569
_cell_length_b 3.3569
_cell_length_c 30.6732
_cell_angle_alpha 90.00
_cell_angle_beta 90.00
_cell_angle_gamma 120.00
_space_group_name_H-M_alt 'R -3 m'
_space_group_IT_number 166
_space_group_name_Hall '-R 3 2"'
loop_
_atom_site_label
_atom_site_fract_x
_atom_site_fract_y
_atom_site_fract_z
_atom_site_occupancy
Y1 0.0000 0.0000 0.0000 1
Ta1 0.0000 0.0000 0.5000 1
Pb1 0.0000 0.0000 0.2432 1
```

Output
- Calculated total energy: -24.78 eV per formula unit
- Calculated formation energy: 5.51 kcal/mol of atoms
- N(E_F): 0.654 states/eV/atom
- Volume: 24.94 Å³/atom

---

Below is a geometry-optimized K4Er3ScO8 structure, with properties calculated at the PBE level.

```
data_K4Er3ScO8
_cell_length_a 6.7926
_cell_length_b 6.7926
_cell_length_c 18.6842
_cell_angle_alpha 90.00
_cell_angle_beta 90.00
_cell_angle_gamma 120.00
_space_group_name_H-M_alt 'R -3 m'
_space_group_IT_number 166
_space_group_name_Hall '-R 3 2"'
loop_
_atom_site_label
_atom_site_fract_x
_atom_site_fract_y
_atom_site_fract_z
_atom_site_occupancy
K1 0.0000 0.0000 0.0000 1
K2 0.0000 0.5000 0.0000 1
Er1 0.0000 0.5000 0.5000 1
Sc1 0.0000 0.0000 0.5000 1
O1 0.0000 0.0000 0.2283 1
O2 0.0098 0.5049 0.2272 1
```

Output
- Calculated total energy: -108.50 eV per formula unit
- N(E_F): 0.000 states/eV/atom
- Volume: 15.55 Å³/atom
- Energy relative to the elements, uncorrected: -2.7765 eV/atom

---

Below is a geometry-optimized LiSm2BePt2 structure, with properties calculated at the PBE level.

```
data_LiSm2BePt2
_cell_length_a 5.7545
_cell_length_b 13.8721
_cell_length_c 5.8655
_cell_angle_alpha 90.00
_cell_angle_beta 90.00
_cell_angle_gamma 90.00
_space_group_name_H-M_alt 'I b a m'
_space_group_IT_number 72
_space_group_name_Hall '-I 2 2c'
loop_
_atom_site_label
_atom_site_fract_x
_atom_site_fract_y
_atom_site_fract_z
_atom_site_occupancy
Li1 0.0000 0.0000 0.2500 1
Sm1 0.2284 0.1663 0.0000 1
Be1 0.0000 0.5000 0.2500 1
Pt1 0.2162 0.3898 0.0000 1
```

Output
- Calculated total energy: -31.80 eV per formula unit
- Calculated formation energy: -17.83 kcal/mol of atoms
- N(E_F): 0.712 states/eV/atom
- Volume: 19.51 Å³/atom

---

Below is a geometry-optimized Nd2YSb3 structure, with properties calculated at the PBE level.

```
data_Nd2YSb3
_cell_length_a 7.7650
_cell_length_b 13.4509
_cell_length_c 7.7593
_cell_angle_alpha 90.00
_cell_angle_beta 109.49
_cell_angle_gamma 90.00
_space_group_name_H-M_alt 'C 1 2/m 1'
_space_group_IT_number 12
loop_
_space_group_symop_operation_xyz
'x,y,z'
'-x,-y,-z'
'-x,y,-z'
'x,-y,z'
'x+1/2,y+1/2,z'
'-x+1/2,-y+1/2,-z'
'-x+1/2,y+1/2,-z'
'x+1/2,-y+1/2,z'
loop_
_atom_site_label
_atom_site_fract_x
_atom_site_fract_y
_atom_site_fract_z
_atom_site_occupancy
Nd1 0.0000 0.0000 0.0000 1
Nd2 0.0000 0.1648 0.5000 1
Nd3 0.0000 0.5000 0.5000 1
Y1 0.0000 0.3327 0.0000 1
Sb1 0.2429 0.5000 0.2430 1
Sb2 0.2492 0.3311 0.7548 1
```

Output
- Calculated total energy: -35.43 eV per formula unit
- N(E_F): 0.180 states/eV/atom
- Volume: 31.83 Å³/atom
- Energy relative to the elements, uncorrected: -1.1770 eV/atom

---

Below is a geometry-optimized CsBPt structure, with properties calculated at the PBE level.

```
data_CsBPt
_cell_length_a 14.6746
_cell_length_b 3.7588
_cell_length_c 6.7063
_cell_angle_alpha 90.00
_cell_angle_beta 107.52
_cell_angle_gamma 90.00
_space_group_name_H-M_alt 'C 1 2/m 1'
_space_group_IT_number 12
loop_
_space_group_symop_operation_xyz
'x,y,z'
'-x,-y,-z'
'-x,y,-z'
'x,-y,z'
'x+1/2,y+1/2,z'
'-x+1/2,-y+1/2,-z'
'-x+1/2,y+1/2,-z'
'x+1/2,-y+1/2,z'
loop_
_atom_site_label
_atom_site_fract_x
_atom_site_fract_y
_atom_site_fract_z
_atom_site_occupancy
Cs1 0.1000 0.0000 0.3090 1
B1 0.2131 0.0000 0.9212 1
Pt1 0.1568 0.5000 0.8436 1
```

Output
- Calculated total energy: -13.43 eV per formula unit
- Calculated formation energy: 1.09 kcal/mol of atoms
- N(E_F): 0.433 states/eV/atom
- Volume: 29.40 Å³/atom

---

Below is a geometry-optimized ZnIr2Pt structure, with properties calculated at the PBE level.

```
data_ZnIr2Pt
_cell_length_a 2.7466
_cell_length_b 4.6369
_cell_length_c 4.6899
_cell_angle_alpha 90.00
_cell_angle_beta 90.00
_cell_angle_gamma 90.00
_space_group_name_H-M_alt 'P m m m'
_space_group_IT_number 47
loop_
_space_group_symop_operation_xyz
'x,y,z'
'-x,-y,-z'
'-x,-y,z'
'x,y,-z'
'x,-y,-z'
'-x,y,z'
'-x,y,-z'
'x,-y,z'
loop_
_atom_site_label
_atom_site_fract_x
_atom_site_fract_y
_atom_site_fract_z
_atom_site_occupancy
Zn1 0.0000 0.0000 0.0000 1
Ir1 0.0000 0.5000 0.5000 1
Ir2 0.5000 0.0000 0.5000 1
Pt1 0.5000 0.5000 0.0000 1
```

Output
- Calculated total energy: -25.03 eV per formula unit
- Calculated formation energy: 0.04 kcal/mol of atoms
- N(E_F): 1.376 states/eV/atom
- Volume: 14.93 Å³/atom